The following is a PBE+U calculation of an optimized crystal structure of FePd2F, from Alexandria via LeMat-Bulk.

Lattice parameters (Å, degrees): 4.2945 4.2945 4.2945 60.00 60.00 60.00
Last column: nearest neighbours and their distance in Å.
Fractional coordinates of all 4 atoms:
Pd  0.2500  0.2500  0.2500  4 F 2.63, 4 Fe 2.63
Pd  0.7500  0.7500  0.7500  4 Fe 2.63, 4 F 2.63
Fe  0.5000  0.5000  0.5000  8 Pd 2.63
F  0.0000  0.0000  0.0000  8 Pd 2.63

Computed properties:
* V: 14.0 Å³ per atom
* energy: -0.1693 Ha/atom
* ΔE to the lowest computed polymorph: 0.009 eV/atom